# LaYIn2Ni4, relaxed, DFT PBE
# volume: 149.58 Å³ per cell
# uncorrected energy: -5.331 eV/atom
# energy above the lowest structure with this stoichiometry: 0.000 eV/atom
# crystal system: orthorhombic
data_LaYIn2Ni4
_chemical_formula_sum 'La1 Y1 In2 Ni4'
_cell_length_a 4.079
_cell_length_b 5.181
_cell_length_c 7.077
_cell_angle_alpha 90.00
_cell_angle_beta 90.00
_cell_angle_gamma 90.00
_symmetry_space_group_name_H-M 'P m m 2'
_symmetry_Int_Tables_number 25
_symmetry_space_group_name_Hall 'P 2 -2'
loop_
_atom_site_label
_atom_site_fract_x
_atom_site_fract_y
_atom_site_fract_z
_atom_site_occupancy
La1 0.000 0.000 0.000 1
Y1 0.000 0.500 0.540 1
In1 0.500 0.000 0.612 1
In2 0.500 0.500 0.917 1
Ni1 0.000 0.000 0.380 1
Ni2 0.000 0.500 0.165 1
Ni3 0.500 0.256 0.275 1